Record 1
The following is a DFT calculation (GGA-PBE) of a geometry-optimized ZrUS3 structure.

Values from the calculation:
Formation energy (no corrections) ... -1389 meV per atom
VASP energy ... -78.33 eV for the cell shown
Symmetry ... No. 36
E above lowest polymorph ... 111 meV/atom
M_tot ... 0.425 μB/atom
Density ... 5.74 g/cm³

Lattice parameters (Å, degrees): 9.994 9.994 6.579 90.00 90.00 158.02
Positions (direct):
Zr1 0.167 0.833 0.500
Zr2 0.833 0.167 0.000
U1 0.336 0.664 0.499
U2 0.664 0.336 0.999
S1 0.092 0.908 0.180
S2 0.250 0.750 0.830
S3 0.404 0.596 0.151
S4 0.596 0.404 0.651
S5 0.750 0.250 0.330
S6 0.908 0.092 0.680


Record 2
The following is a DFT calculation (GGA-PBE) of a geometry-optimized ZrU2S5 structure.

Values from the calculation:
Formation energy (no corrections) ... -1381 meV per atom
VASP energy ... -125.62 eV for the cell shown
Symmetry ... No. 63
E above lowest polymorph ... 89 meV/atom
M_tot ... 0.651 μB/atom
Density ... 5.87 g/cm³

Lattice parameters (Å, degrees): 6.740 6.740 12.503 90.00 90.00 133.51
Positions (direct):
Zr1 0.215 0.785 0.750
Zr2 0.785 0.215 0.250
U1 0.153 0.847 0.062
U2 0.153 0.847 0.438
U3 0.847 0.153 0.562
U4 0.847 0.153 0.938
S1 0.051 0.949 0.624
S2 0.051 0.949 0.876
S3 0.264 0.736 0.250
S4 0.333 0.667 0.572
S5 0.333 0.667 0.928
S6 0.667 0.333 0.072
S7 0.667 0.333 0.428
S8 0.736 0.264 0.750
S9 0.949 0.051 0.124
S10 0.949 0.051 0.376


Record 3
The following is a DFT calculation (GGA-PBE) of a geometry-optimized ZrU2S6 structure.

Values from the calculation:
Formation energy (no corrections) ... -1175 meV per atom
VASP energy ... -66.46 eV for the cell shown
Symmetry ... No. 12
E above lowest polymorph ... 226 meV/atom
M_tot ... 0.447 μB/atom
Density ... 5.60 g/cm³

Lattice parameters (Å, degrees): 7.173 7.173 8.453 125.69 125.69 41.47
Positions (direct):
Zr1 0.000 0.000 0.000
U1 0.185 0.185 0.616
U2 0.815 0.815 0.384
S1 0.045 0.045 0.739
S2 0.245 0.245 0.356
S3 0.385 0.385 0.978
S4 0.615 0.615 0.022
S5 0.755 0.755 0.644
S6 0.955 0.955 0.261


Record 4
The following is a DFT calculation (GGA-PBE) of a geometry-optimized ZrUS2 structure.

Values from the calculation:
Formation energy (no corrections) ... -1415 meV per atom
VASP energy ... -101.26 eV for the cell shown
Symmetry ... No. 166
E above lowest polymorph ... 0 meV/atom
M_tot ... 0.539 μB/atom
Density ... 8.57 g/cm³

Lattice parameters (Å, degrees): 3.804 3.804 18.245 90.00 90.00 120.00
Positions (direct):
Zr1 0.000 0.000 0.000
Zr2 0.333 0.667 0.667
Zr3 0.667 0.333 0.333
U1 0.000 0.000 0.500
U2 0.333 0.667 0.167
U3 0.667 0.333 0.833
S1 0.000 0.000 0.253
S2 0.000 0.000 0.747
S3 0.333 0.667 0.414
S4 0.333 0.667 0.920
S5 0.667 0.333 0.080
S6 0.667 0.333 0.586


Record 5
The following is a DFT calculation (GGA-PBE) of a geometry-optimized ZrU2S3 structure.

Values from the calculation:
Formation energy (no corrections) ... -1417 meV per atom
VASP energy ... -208.04 eV for the cell shown
Symmetry ... No. 70
M_tot ... 0.758 μB/atom
Density ... 9.42 g/cm³

Lattice parameters (Å, degrees): 12.688 12.092 6.582 79.66 69.65 30.69
Positions (direct):
Zr1 0.041 0.041 0.209
Zr2 0.209 0.209 0.041
Zr3 0.791 0.791 0.959
Zr4 0.959 0.959 0.791
U1 0.125 0.125 0.625
U2 0.292 0.292 0.458
U3 0.375 0.375 0.875
U4 0.458 0.458 0.292
U5 0.542 0.542 0.708
U6 0.625 0.625 0.125
U7 0.708 0.708 0.542
U8 0.875 0.875 0.375
S1 0.040 0.540 0.202
S2 0.115 0.635 0.635
S3 0.202 0.718 0.040
S4 0.282 0.798 0.460
S5 0.365 0.885 0.885
S6 0.460 0.960 0.282
S7 0.540 0.040 0.718
S8 0.635 0.115 0.115
S9 0.718 0.202 0.540
S10 0.798 0.282 0.960
S11 0.885 0.365 0.365
S12 0.960 0.460 0.798


Record 6
The following is a DFT calculation (GGA-PBE) of a geometry-optimized ZrUS structure.

Values from the calculation:
Formation energy (no corrections) ... -549 meV per atom
VASP energy ... -102.44 eV for the cell shown
Symmetry ... No. 70
M_tot ... 0.974 μB/atom
Density ... 9.24 g/cm³

Lattice parameters (Å, degrees): 8.231 7.453 6.534 71.76 59.31 48.93
Positions (direct):
Zr1 0.005 0.005 0.745
Zr2 0.255 0.255 0.995
Zr3 0.745 0.745 0.005
Zr4 0.995 0.995 0.255
U1 0.000 0.500 0.500
U2 0.500 0.000 0.500
U3 0.500 0.500 0.000
U4 0.500 0.500 0.500
S1 0.057 0.693 0.057
S2 0.307 0.943 0.307
S3 0.693 0.057 0.693
S4 0.943 0.307 0.943


Record 7
The following is a DFT calculation (GGA-PBE) of a geometry-optimized ZrU2S5 structure.

Values from the calculation:
Formation energy (no corrections) ... -1470 meV per atom
VASP energy ... -254.10 eV for the cell shown
Symmetry ... No. 62
E above lowest polymorph ... 0 meV/atom
M_tot ... 0.722 μB/atom
Density ... 7.52 g/cm³

Lattice parameters (Å, degrees): 11.453 7.744 7.250 90.00 90.00 90.00
Positions (direct):
Zr1 0.005 0.250 0.081
Zr2 0.495 0.750 0.581
Zr3 0.505 0.250 0.419
Zr4 0.995 0.750 0.919
U1 0.179 0.501 0.530
U2 0.179 0.999 0.530
U3 0.321 0.001 0.030
U4 0.321 0.499 0.030
U5 0.679 0.501 0.970
U6 0.679 0.999 0.970
U7 0.821 0.001 0.470
U8 0.821 0.499 0.470
S1 0.001 0.250 0.456
S2 0.092 0.541 0.167
S3 0.092 0.959 0.167
S4 0.184 0.250 0.835
S5 0.213 0.750 0.811
S6 0.287 0.250 0.311
S7 0.316 0.750 0.335
S8 0.408 0.041 0.667
S9 0.408 0.459 0.667
S10 0.499 0.750 0.956
S11 0.501 0.250 0.044
S12 0.592 0.541 0.333
S13 0.592 0.959 0.333
S14 0.684 0.250 0.665
S15 0.713 0.750 0.689
S16 0.787 0.250 0.189
S17 0.816 0.750 0.165
S18 0.908 0.041 0.833
S19 0.908 0.459 0.833
S20 0.999 0.750 0.544


Record 8
The following is a DFT calculation (GGA-PBE) of a geometry-optimized Zr2US4 structure.

Values from the calculation:
Formation energy (no corrections) ... -1446 meV per atom
VASP energy ... -110.03 eV for the cell shown
Symmetry ... No. 63
M_tot ... 0.297 μB/atom
Density ... 6.46 g/cm³

Lattice parameters (Å, degrees): 6.368 6.368 12.650 90.00 90.00 146.61
Positions (direct):
Zr1 0.148 0.852 0.558
Zr2 0.148 0.852 0.942
Zr3 0.852 0.148 0.058
Zr4 0.852 0.148 0.442
U1 0.387 0.613 0.750
U2 0.613 0.387 0.250
S1 0.052 0.948 0.750
S2 0.226 0.774 0.131
S3 0.226 0.774 0.369
S4 0.500 0.500 0.000
S5 0.500 0.500 0.500
S6 0.774 0.226 0.631
S7 0.774 0.226 0.869
S8 0.948 0.052 0.250


Record 9
The following is a DFT calculation (GGA-PBE) of a geometry-optimized ZrUS3 structure.

Values from the calculation:
Formation energy (no corrections) ... -1500 meV per atom
VASP energy ... -158.88 eV for the cell shown
Symmetry ... No. 62
E above lowest polymorph ... 0 meV/atom
M_tot ... 0.419 μB/atom
Density ... 7.26 g/cm³

Lattice parameters (Å, degrees): 7.173 3.761 14.421 90.00 90.00 90.00
Positions (direct):
Zr1 0.246 0.250 0.049
Zr2 0.254 0.750 0.549
Zr3 0.746 0.250 0.451
Zr4 0.754 0.750 0.951
U1 0.115 0.750 0.296
U2 0.385 0.250 0.796
U3 0.615 0.750 0.204
U4 0.885 0.250 0.704
S1 0.006 0.750 0.102
S2 0.120 0.250 0.437
S3 0.158 0.750 0.724
S4 0.342 0.250 0.224
S5 0.380 0.750 0.937
S6 0.494 0.250 0.602
S7 0.506 0.750 0.398
S8 0.620 0.250 0.063
S9 0.658 0.750 0.776
S10 0.842 0.250 0.276
S11 0.880 0.750 0.563
S12 0.994 0.250 0.898


Record 10
The following is a DFT calculation (GGA-PBE) of a geometry-optimized ZrUS4 structure.

Values from the calculation:
Formation energy (no corrections) ... -1427 meV per atom
VASP energy ... -89.82 eV for the cell shown
Symmetry ... No. 12
E above lowest polymorph ... 0 meV/atom
M_tot ... 0.334 μB/atom
Density ... 4.49 g/cm³

Lattice parameters (Å, degrees): 13.404 3.852 6.623 90.00 98.58 90.00
Positions (direct):
Zr1 0.000 0.000 0.000
Zr2 0.500 0.500 0.000
U1 0.000 0.500 0.500
U2 0.500 0.000 0.500
S1 0.107 0.500 0.873
S2 0.108 0.000 0.356
S3 0.392 0.500 0.644
S4 0.393 0.000 0.127
S5 0.607 0.000 0.873
S6 0.608 0.500 0.356
S7 0.892 0.000 0.644
S8 0.893 0.500 0.127